This record from OQMD describes ScInAu2 after structural relaxation. The functional is GGA-PBE.

## Properties
Size of the total moment: 0.005 μB per formula unit
ρ: 11.2 Mg/m³
Symmetry: No. 194
Total DFT energy (no corrections): -4.469 eV/atom

a b c (Å): 4.675 4.675 8.666
angles (deg): 90.00 90.00 120.00
Fractional coordinates of all 8 atoms:
Au (0.667, 0.333, 0.091)
Au (0.667, 0.333, 0.409)
Au (0.333, 0.667, 0.591)
Au (0.333, 0.667, 0.909)
In (0.000, 0.000, 0.000)
In (0.000, 0.000, 0.500)
Sc (0.333, 0.667, 0.250)
Sc (0.667, 0.333, 0.750)

This record from OQMD describes CuMo2C after structural relaxation. The functional is GGA-PBE.

## Properties
Size of the total moment: 0.000 μB per formula unit
ρ: 8.5 Mg/m³
Symmetry: No. 15
Total DFT energy (no corrections): -8.506 eV/atom

a b c (Å): 5.327 5.327 13.138
angles (deg): 101.70 101.70 60.00
Fractional coordinates of all 24 atoms:
C (0.500, 0.000, 0.000)
C (0.832, 0.334, 0.000)
C (0.666, 0.168, 0.500)
C (0.000, 0.500, 0.500)
C (0.334, 0.832, 0.500)
C (0.168, 0.666, 0.000)
Cu (0.236, 0.415, 0.250)
Cu (0.931, 0.069, 0.250)
Cu (0.585, 0.764, 0.250)
Cu (0.415, 0.236, 0.750)
Cu (0.069, 0.931, 0.750)
Cu (0.764, 0.585, 0.750)
Mo (0.862, 0.696, 0.087)
Mo (0.197, 0.028, 0.087)
Mo (0.530, 0.364, 0.090)
Mo (0.636, 0.470, 0.410)
Mo (0.972, 0.803, 0.413)
Mo (0.304, 0.138, 0.413)
Mo (0.696, 0.862, 0.587)
Mo (0.028, 0.197, 0.587)
Mo (0.364, 0.530, 0.590)
Mo (0.470, 0.636, 0.910)
Mo (0.803, 0.972, 0.913)
Mo (0.138, 0.304, 0.913)

This record from OQMD describes SmNbAsO after structural relaxation. The functional is GGA-PBE.

## Properties
Distance to the lowest polymorph of the same formula: 0.0000 eV per atom
Size of the total moment: 0.084 μB per formula unit
ρ: 7.5 Mg/m³
Symmetry: No. 129
Total DFT energy (no corrections): -7.982 eV/atom

a b c (Å): 4.010 4.010 9.178
angles (deg): 90.00 90.00 90.00
Fractional coordinates of all 8 atoms:
As (0.750, 0.750, 0.305)
As (0.250, 0.250, 0.695)
Nb (0.750, 0.250, 0.500)
Nb (0.250, 0.750, 0.500)
O (0.750, 0.250, 0.000)
O (0.250, 0.750, 0.000)
Sm (0.250, 0.250, 0.125)
Sm (0.750, 0.750, 0.875)

This record from OQMD describes Cu2Ag3 after structural relaxation. The functional is GGA-PBE.

## Properties
Distance to the lowest polymorph of the same formula: 0.0372 eV per atom
ρ: 9.6 Mg/m³
Symmetry: No. 12
Total DFT energy (no corrections): -3.112 eV/atom

a b c (Å): 7.757 7.757 7.370
angles (deg): 104.20 104.20 21.29
Fractional coordinates of all 10 atoms:
Ag (0.814, 0.814, 0.134)
Ag (0.199, 0.199, 0.327)
Ag (0.406, 0.406, 0.461)
Ag (0.594, 0.594, 0.539)
Ag (0.801, 0.801, 0.673)
Ag (0.186, 0.186, 0.866)
Cu (0.585, 0.585, 0.048)
Cu (0.001, 0.001, 0.231)
Cu (0.999, 0.999, 0.769)
Cu (0.415, 0.415, 0.952)

This record from OQMD describes NbAlNi after structural relaxation. The functional is GGA-PBE.

## Properties
Size of the total moment: 0.001 μB per formula unit
ρ: 6.8 Mg/m³
Symmetry: No. 62
Total DFT energy (no corrections): -6.821 eV/atom

a b c (Å): 6.391 3.739 7.270
angles (deg): 90.00 90.00 90.00
Fractional coordinates of all 12 atoms:
Al (0.722, 0.250, 0.122)
Al (0.222, 0.250, 0.378)
Al (0.778, 0.750, 0.622)
Al (0.278, 0.750, 0.878)
Nb (0.021, 0.750, 0.174)
Nb (0.521, 0.750, 0.326)
Nb (0.479, 0.250, 0.674)
Nb (0.979, 0.250, 0.826)
Ni (0.353, 0.250, 0.063)
Ni (0.853, 0.250, 0.437)
Ni (0.147, 0.750, 0.563)
Ni (0.647, 0.750, 0.937)

This record from OQMD describes NaInTeOs after structural relaxation. The functional is GGA-PBE.

## Properties
Distance to the lowest polymorph of the same formula: 0.4574 eV per atom
Size of the total moment: 0.072 μB per formula unit
ρ: 9.1 Mg/m³
Symmetry: No. 216
Total DFT energy (no corrections): -3.812 eV/atom

a b c (Å): 4.902 4.902 4.902
angles (deg): 60.00 60.00 60.00
Fractional coordinates of all 4 atoms:
In (0.500, 0.500, 0.500)
Na (0.750, 0.750, 0.750)
Os (0.000, 0.000, 0.000)
Te (0.250, 0.250, 0.250)

This record from OQMD describes Ac2Ir2O5 after structural relaxation. The functional is GGA-PBE.

## Properties
Distance to the lowest polymorph of the same formula: 0.0000 eV per atom
Size of the total moment: 0.005 μB per formula unit
ρ: 12.6 Mg/m³
Symmetry: No. 123
Total DFT energy (no corrections): -7.467 eV/atom

a b c (Å): 7.381 4.051 4.051
angles (deg): 90.00 90.00 90.00
Fractional coordinates of all 9 atoms:
Ac (0.000, 0.000, 0.000)
Ac (0.500, 0.000, 0.000)
Ir (0.192, 0.500, 0.500)
Ir (0.808, 0.500, 0.500)
O (0.244, 0.500, 0.000)
O (0.756, 0.500, 0.000)
O (0.244, 0.000, 0.500)
O (0.756, 0.000, 0.500)
O (0.500, 0.500, 0.500)

This record from OQMD describes AgPAuO after structural relaxation. The functional is GGA-PBE.

## Properties
Distance to the lowest polymorph of the same formula: 0.1609 eV per atom
ρ: 7.4 Mg/m³
Symmetry: No. 129
Total DFT energy (no corrections): -3.749 eV/atom

a b c (Å): 4.317 4.317 8.443
angles (deg): 90.00 90.00 90.00
Fractional coordinates of all 8 atoms:
Ag (0.000, 0.000, 0.500)
Ag (0.500, 0.500, 0.500)
Au (0.500, 0.000, 0.073)
Au (0.000, 0.500, 0.927)
O (0.000, 0.000, 0.000)
O (0.500, 0.500, 0.000)
P (0.500, 0.000, 0.351)
P (0.000, 0.500, 0.649)

This record from OQMD describes NaLiLu after structural relaxation. The functional is GGA-PBE.

## Properties
Distance to the lowest polymorph of the same formula: 0.2335 eV per atom
Size of the total moment: 0.008 μB per formula unit
ρ: 3.3 Mg/m³
Symmetry: No. 216
Total DFT energy (no corrections): -1.710 eV/atom

a b c (Å): 5.265 5.265 5.265
angles (deg): 60.00 60.00 60.00
Fractional coordinates of all 3 atoms:
Li (0.250, 0.250, 0.250)
Lu (0.000, 0.000, 0.000)
Na (0.750, 0.750, 0.750)

This record from OQMD describes LiReGeMo after structural relaxation. The functional is GGA-PBE.

## Properties
Distance to the lowest polymorph of the same formula: 0.4854 eV per atom
Size of the total moment: 0.067 μB per formula unit
ρ: 10.8 Mg/m³
Symmetry: No. 216
Total DFT energy (no corrections): -7.046 eV/atom

a b c (Å): 4.280 4.280 4.280
angles (deg): 60.00 60.00 60.00
Fractional coordinates of all 4 atoms:
Ge (0.250, 0.250, 0.250)
Li (0.750, 0.750, 0.750)
Mo (0.000, 0.000, 0.000)
Re (0.500, 0.500, 0.500)

This record from OQMD describes NaSmCoSe3 after structural relaxation. The functional is GGA-PBE.

## Properties
Distance to the lowest polymorph of the same formula: 0.0242 eV per atom
Size of the total moment: 2.980 μB per formula unit
ρ: 5.2 Mg/m³
Symmetry: No. 63
Total DFT energy (no corrections): -5.002 eV/atom

a b c (Å): 4.063 7.013 11.016
angles (deg): 90.00 90.00 73.16
Each line ends with the local moment (μB).
Fractional coordinates of all 12 atoms:
Co (0.526, 0.947, 0.250)  2.13
Co (0.474, 0.053, 0.750)  2.13
Na (0.245, 0.510, 0.250)  0.00
Na (0.755, 0.490, 0.750)  0.00
Se (0.638, 0.724, 0.081)  0.13
Se (0.920, 0.159, 0.250)  0.15
Se (0.638, 0.724, 0.419)  0.13
Se (0.362, 0.276, 0.581)  0.13
Se (0.080, 0.841, 0.750)  0.15
Se (0.362, 0.276, 0.919)  0.13
Sm (0.000, 0.000, 0.000)  0.03
Sm (0.000, 0.000, 0.500)  0.03

This record from OQMD describes BiPt after structural relaxation. The functional is GGA-PBE.

## Properties
Size of the total moment: 0.001 μB per formula unit
ρ: 14.3 Mg/m³
Symmetry: No. 225
Total DFT energy (no corrections): -5.174 eV/atom

a b c (Å): 4.053 4.053 4.053
angles (deg): 60.00 60.00 60.00
Fractional coordinates of all 2 atoms:
Bi (0.000, 0.000, 0.000)
Pt (0.500, 0.500, 0.500)

This record from OQMD describes Gd2HoTm5 after structural relaxation. The functional is GGA-PBE.

## Properties
Size of the total moment: 0.148 μB per formula unit
ρ: 8.9 Mg/m³
Symmetry: No. 38
Total DFT energy (no corrections): -4.528 eV/atom

a b c (Å): 5.572 7.146 7.146
angles (deg): 60.00 90.00 90.00
Fractional coordinates of all 8 atoms:
Gd (0.500, 0.333, 0.333)
Gd (0.000, 0.667, 0.667)
Ho (0.000, 0.166, 0.166)
Tm (0.000, 0.668, 0.166)
Tm (0.500, 0.834, 0.332)
Tm (0.000, 0.166, 0.668)
Tm (0.500, 0.332, 0.834)
Tm (0.500, 0.834, 0.834)

This record from OQMD describes PrCuSi after structural relaxation. The functional is GGA-PBE.

## Properties
Size of the total moment: 0.002 μB per formula unit
ρ: 5.9 Mg/m³
Symmetry: No. 216
Total DFT energy (no corrections): -5.040 eV/atom

a b c (Å): 4.514 4.514 4.514
angles (deg): 60.00 60.00 60.00
Fractional coordinates of all 3 atoms:
Cu (0.000, 0.000, 0.000)
Pr (0.250, 0.250, 0.250)
Si (0.750, 0.750, 0.750)

This record from OQMD describes K2Sm3Au after structural relaxation. The functional is GGA-PBE.

## Properties
Size of the total moment: 0.021 μB per formula unit
ρ: 4.7 Mg/m³
Symmetry: No. 191
Total DFT energy (no corrections): -2.543 eV/atom

a b c (Å): 6.420 6.420 7.136
angles (deg): 90.00 90.00 120.00
Fractional coordinates of all 6 atoms:
Au (0.000, 0.000, 0.500)
K (0.333, 0.667, 0.500)
K (0.667, 0.333, 0.500)
Sm (0.500, 0.000, 0.000)
Sm (0.000, 0.500, 0.000)
Sm (0.500, 0.500, 0.000)

This record from OQMD describes K2CuF4 after structural relaxation. The functional is GGA-PBE.

## Properties
Distance to the lowest polymorph of the same formula: 0.0000 eV per atom
ρ: 3.6 Mg/m³
Symmetry: No. 139
Total DFT energy (no corrections): -4.165 eV/atom

a b c (Å): 5.616 5.616 13.366
angles (deg): 102.13 102.13 90.00
Fractional coordinates of all 28 atoms:
Cu (0.500, 0.000, 0.000)
Cu (0.000, 0.500, 0.000)
Cu (0.250, 0.250, 0.500)
Cu (0.750, 0.750, 0.500)
F (0.750, 0.250, 0.000)
F (0.250, 0.250, 0.000)
F (0.750, 0.750, 0.000)
F (0.250, 0.750, 0.000)
F (0.579, 0.079, 0.158)
F (0.079, 0.579, 0.158)
F (0.171, 0.171, 0.342)
F (0.671, 0.671, 0.342)
F (0.000, 0.000, 0.500)
F (0.500, 0.000, 0.500)
F (0.000, 0.500, 0.500)
F (0.500, 0.500, 0.500)
F (0.329, 0.329, 0.658)
F (0.829, 0.829, 0.658)
F (0.921, 0.421, 0.842)
F (0.421, 0.921, 0.842)
K (0.073, 0.073, 0.145)
K (0.573, 0.573, 0.145)
K (0.677, 0.177, 0.355)
K (0.177, 0.677, 0.355)
K (0.823, 0.323, 0.645)
K (0.323, 0.823, 0.645)
K (0.427, 0.427, 0.855)
K (0.927, 0.927, 0.855)

This record from OQMD describes CoCl after structural relaxation. The functional is GGA-PBE.

## Properties
Size of the total moment: 2.000 μB per formula unit
ρ: 4.7 Mg/m³
Symmetry: No. 51
Total DFT energy (no corrections): -4.138 eV/atom

a b c (Å): 5.657 3.580 3.297
angles (deg): 90.00 90.00 90.00
Fractional coordinates of all 4 atoms:
Cl (0.250, 0.000, 0.194)
Cl (0.750, 0.000, 0.806)
Co (0.750, 0.500, 0.396)
Co (0.250, 0.500, 0.604)

This record from OQMD describes Nb3Cl5O2 after structural relaxation. The functional is GGA-PBE.

## Properties
Size of the total moment: 0.002 μB per formula unit
ρ: 4.0 Mg/m³
Symmetry: No. 58
Total DFT energy (no corrections): -6.576 eV/atom

a b c (Å): 8.165 14.637 6.735
angles (deg): 90.00 90.00 90.00
Fractional coordinates of all 40 atoms:
Cl (0.326, 0.111, 0.000)
Cl (0.706, 0.141, 0.000)
Cl (0.775, 0.371, 0.000)
Cl (0.209, 0.374, 0.000)
Cl (0.791, 0.626, 0.000)
Cl (0.225, 0.629, 0.000)
Cl (0.294, 0.859, 0.000)
Cl (0.674, 0.889, 0.000)
Cl (0.000, 0.000, 0.241)
Cl (0.500, 0.500, 0.259)
Cl (0.709, 0.126, 0.500)
Cl (0.275, 0.129, 0.500)
Cl (0.206, 0.359, 0.500)
Cl (0.826, 0.389, 0.500)
Cl (0.174, 0.611, 0.500)
Cl (0.794, 0.641, 0.500)
Cl (0.725, 0.871, 0.500)
Cl (0.291, 0.874, 0.500)
Cl (0.500, 0.500, 0.741)
Cl (0.000, 0.000, 0.759)
Nb (0.027, 0.135, 0.000)
Nb (0.973, 0.865, 0.000)
Nb (0.240, 0.240, 0.211)
Nb (0.760, 0.760, 0.211)
Nb (0.740, 0.260, 0.289)
Nb (0.260, 0.740, 0.289)
Nb (0.527, 0.365, 0.500)
Nb (0.473, 0.635, 0.500)
Nb (0.740, 0.260, 0.711)
Nb (0.260, 0.740, 0.711)
Nb (0.240, 0.240, 0.789)
Nb (0.760, 0.760, 0.789)
O (0.991, 0.226, 0.222)
O (0.009, 0.774, 0.222)
O (0.491, 0.274, 0.278)
O (0.509, 0.726, 0.278)
O (0.491, 0.274, 0.722)
O (0.509, 0.726, 0.722)
O (0.991, 0.226, 0.778)
O (0.009, 0.774, 0.778)

This record from OQMD describes Y2CoB2 after structural relaxation. The functional is GGA-PBE.

## Properties
Size of the total moment: 0.236 μB per formula unit
ρ: 5.7 Mg/m³
Symmetry: No. 65
Total DFT energy (no corrections): -6.955 eV/atom

a b c (Å): 6.628 6.628 3.618
angles (deg): 90.00 90.00 151.74
Each line ends with the local moment (μB).
Fractional coordinates of all 5 atoms:
B (0.777, 0.223, 0.000)  0.01
B (0.223, 0.777, 0.000)  0.01
Co (0.000, 0.000, 0.000)  -0.72
Y (0.626, 0.374, 0.500)  0.11
Y (0.374, 0.626, 0.500)  0.11

This record from OQMD describes YPbAuSe3 after structural relaxation. The functional is GGA-PBE.

## Properties
Distance to the lowest polymorph of the same formula: 0.0000 eV per atom
Size of the total moment: 0.003 μB per formula unit
ρ: 7.3 Mg/m³
Symmetry: No. 62
Total DFT energy (no corrections): -4.948 eV/atom

a b c (Å): 10.029 4.245 15.552
angles (deg): 90.00 90.00 90.00
Fractional coordinates of all 24 atoms:
Au (0.239, 0.250, 0.170)
Au (0.739, 0.250, 0.330)
Au (0.261, 0.750, 0.670)
Au (0.761, 0.750, 0.830)
Pb (0.460, 0.750, 0.204)
Pb (0.960, 0.750, 0.296)
Pb (0.040, 0.250, 0.704)
Pb (0.540, 0.250, 0.796)
Se (0.350, 0.250, 0.029)
Se (0.976, 0.750, 0.105)
Se (0.657, 0.250, 0.181)
Se (0.157, 0.250, 0.319)
Se (0.476, 0.750, 0.395)
Se (0.850, 0.250, 0.471)
Se (0.150, 0.750, 0.529)
Se (0.524, 0.250, 0.605)
Se (0.843, 0.750, 0.681)
Se (0.343, 0.750, 0.819)
Se (0.024, 0.250, 0.895)
Se (0.650, 0.750, 0.971)
Y (0.824, 0.250, 0.023)
Y (0.324, 0.250, 0.477)
Y (0.676, 0.750, 0.523)
Y (0.176, 0.750, 0.977)

This record from OQMD describes BiAsOsO after structural relaxation. The functional is GGA-PBE.

## Properties
Distance to the lowest polymorph of the same formula: 1.0196 eV per atom
Size of the total moment: 0.078 μB per formula unit
ρ: 10.6 Mg/m³
Symmetry: No. 129
Total DFT energy (no corrections): -5.546 eV/atom

a b c (Å): 4.254 4.254 8.468
angles (deg): 90.00 90.00 90.00
Each line ends with the local moment (μB).
Fractional coordinates of all 8 atoms:
As (0.000, 0.500, 0.215)  -0.02
As (0.500, 0.000, 0.785)  -0.02
Bi (0.000, 0.000, 0.500)  -0.01
Bi (0.500, 0.500, 0.500)  -0.01
O (0.000, 0.000, 0.000)  0.00
O (0.500, 0.500, 0.000)  0.00
Os (0.500, 0.000, 0.066)  0.12
Os (0.000, 0.500, 0.934)  0.12